The following is a DFT calculation (PBE-GGA) of a geometry-optimized Sc2ReNi2 structure.

Calculated values
Density of states at the Fermi level = 10.69 states/eV/cell
Crystal system = tetragonal
Energy above the most stable polymorph in this dataset = 0 meV/atom
ρ = 8.18 g/cm3
E_form = -0.20 eV per atom

Structure (extended XYZ):
```
10
Lattice="-4.977 4.076 -0.662 -4.126 -4.866 1.058 0.100 0.731 3.749" Properties=species:S:1:pos:R:3 pbc="T T T"
Sc -3.628 -2.207 2.474
Sc -6.716 -0.876 2.297
Sc -5.375 2.149 1.671
Sc -2.288 0.817 1.849
Re 0.000 0.000 0.000
Re -4.552 -0.395 0.198
Ni -5.445 -2.726 0.676
Ni -6.931 0.494 0.088
Ni -3.658 1.937 -0.280
Ni -2.172 -1.283 0.308
```

---

The following is a DFT calculation (PBE-GGA) of a geometry-optimized Sc2ReNi structure.

Calculated values
Density of states at the Fermi level = 5.78 states/eV/cell
Crystal system = trigonal
ρ = 8.13 g/cm3
E_form = 0.08 eV per atom

Structure (extended XYZ):
```
4
Lattice="8.447 -0.025 -0.015 7.890 3.018 -0.015 7.890 1.445 2.649" Properties=species:S:1:pos:R:3 pbc="T T T"
Ni 18.170 3.329 1.965
Re 6.057 1.110 0.655
Sc 0.062 0.011 0.007
Sc 12.052 2.208 1.303
```

---

The following is a DFT calculation (PBE-GGA) of a geometry-optimized ScReNi2 structure.

Calculated values
Density of states at the Fermi level = 4.21 states/eV/cell
Crystal system = monoclinic
Energy above the most stable polymorph in this dataset = 43 meV/atom
ρ = 10.40 g/cm3
E_form = -0.09 eV per atom

Structure (extended XYZ):
```
4
Lattice="4.908 0.028 0.102 4.144 2.629 0.102 1.265 0.371 4.379" Properties=species:S:1:pos:R:3 pbc="T T T"
Ni 0.228 0.067 0.155
Ni 7.559 2.219 3.220
Re 5.096 1.496 2.584
Sc 2.593 0.761 0.916
```

---

The following is a DFT calculation (PBE-GGA) of a geometry-optimized Sc2ReNi structure.

Calculated values
Density of states at the Fermi level = 4.31 states/eV/cell
Crystal system = tetragonal
ρ = 8.33 g/cm3
E_form = -0.18 eV per atom

Structure (extended XYZ):
```
4
Lattice="-4.087 1.951 0.505 -1.063 -1.553 -2.606 -1.338 -3.481 2.620" Properties=species:S:1:pos:R:3 pbc="T T T"
Ni -1.166 -2.275 -0.647
Re -3.879 -3.042 0.917
Sc -1.303 -3.240 1.967
Sc -2.678 -0.524 0.910
```

---

The following is a DFT calculation (PBE-GGA) of a geometry-optimized ScReNi2 structure.

Calculated values
Density of states at the Fermi level = 3.98 states/eV/cell
Crystal system = orthorhombic
Energy above the most stable polymorph in this dataset = 15 meV/atom
ρ = 10.51 g/cm3
E_form = -0.12 eV per atom

Structure (extended XYZ):
```
4
Lattice="6.102 0.020 0.062 -2.466 3.913 -0.030 1.170 0.754 2.313" Properties=species:S:1:pos:R:3 pbc="T T T"
Ni 0.000 0.000 0.000
Ni 3.636 0.387 1.188
Re -0.648 2.333 1.142
Sc 1.818 1.967 0.016
```

---

The following is a DFT calculation (PBE-GGA) of a geometry-optimized ScRe3Ni structure.

Calculated values
Density of states at the Fermi level = 9.29 states/eV/cell
Crystal system = cubic
Energy above the most stable polymorph in this dataset = 0 meV/atom
ρ = 12.26 g/cm3
E_form = 1.30 eV per atom

Structure (extended XYZ):
```
5
Lattice="-1.841 2.616 -3.132 -3.851 0.024 2.283 1.351 3.633 2.240" Properties=species:S:1:pos:R:3 pbc="T T T"
Sc -2.170 3.136 0.696
Re -1.925 0.012 1.142
Re 0.676 1.816 1.120
Re -0.920 1.308 -1.566
Ni 0.000 0.000 0.000
```

---

The following is a DFT calculation (PBE-GGA) of a geometry-optimized Sc2ReNi2 structure.

Calculated values
Density of states at the Fermi level = 4.99 states/eV/cell
Crystal system = tetragonal
Energy above the most stable polymorph in this dataset = 223 meV/atom
ρ = 7.91 g/cm3
E_form = 0.02 eV per atom

Structure (extended XYZ):
```
5
Lattice="-2.982 0.317 -1.299 -1.016 -2.600 1.698 -4.054 3.480 6.047" Properties=species:S:1:pos:R:3 pbc="T T T"
Sc -2.431 -0.170 1.429
Sc -5.621 1.367 5.018
Re 0.000 0.000 0.000
Ni -4.518 1.328 2.474
Ni -3.535 -0.131 3.973
```

---

The following is a DFT calculation (PBE-GGA) of a geometry-optimized Sc8ReNi2 structure.

Calculated values
Density of states at the Fermi level = 14.43 states/eV/cell
Crystal system = monoclinic
ρ = 4.99 g/cm3
E_form = -0.24 eV per atom

Structure (extended XYZ):
```
11
Lattice="-1.063 1.036 -4.436 2.411 -5.536 -1.870 -7.125 -1.504 3.822" Properties=species:S:1:pos:R:3 pbc="T T T"
Sc -0.918 -2.191 -2.758
Sc -4.967 -0.816 0.999
Sc -2.234 -2.079 0.050
Sc 1.417 -4.458 -1.381
Sc -3.543 -3.925 -2.534
Sc -0.810 -5.188 -3.483
Sc -4.859 -3.813 0.274
Sc -7.194 -1.546 -1.104
Re -0.531 0.518 -2.218
Ni -1.157 -4.205 -0.705
Ni -4.621 -1.799 -1.779
```

---

Among the records above, which one has the lowest ρ? Sc8ReNi2